1.
First-principles (PBEsol) data for crystalline CdGaFe3 at its relaxed geometry, as listed in the Alexandria database.

ΔE_f (meV per atom): 1702
Uncorrected energy (eV per atom): -4.58

```
CdGaFe3
1.0
4.682 0.000 0.000
0.000 4.682 0.000
0.000 0.000 4.682
Cd Ga Fe
1 1 3
direct
0.000 0.000 0.000
0.500 0.500 0.500
0.000 0.000 0.500
0.000 0.500 0.000
0.500 0.000 0.000
```


2.
First-principles (PBEsol) data for crystalline CdPtSe at its relaxed geometry, as listed in the Alexandria database.

Uncorrected energy (eV per atom): -3.69
Formation energy without anion corrections (meV per atom): 314

```
CdPtSe
1.0
0.000 3.153 3.153
3.153 0.000 3.153
3.153 3.153 0.000
Cd Pt Se
1 1 1
direct
0.000 0.000 0.000
0.750 0.750 0.750
0.250 0.250 0.250
```


3.
First-principles (PBEsol) data for crystalline YZr2P at its relaxed geometry, as listed in the Alexandria database.

ΔE_f (meV per atom): -584
Uncorrected energy (eV per atom): -8.28

```
YZr2P
1.0
1.754 1.012 8.516
-1.754 1.012 8.516
0.000 -2.025 8.516
Y Zr P
1 2 1
direct
0.000 0.000 0.000
0.536 0.536 0.536
0.775 0.775 0.775
0.264 0.264 0.264
```


4.
First-principles (PBEsol) data for crystalline LaINF2 at its relaxed geometry, as listed in the Alexandria database.

Uncorrected energy (eV per atom): -4.53
Formation energy without anion corrections (meV per atom): -628

```
LaINF2
1.0
4.804 0.000 0.000
0.000 4.804 0.000
0.000 0.000 4.113
La I N F
1 1 1 2
direct
0.000 0.000 0.000
0.500 0.500 0.500
0.500 0.500 0.000
0.000 0.500 0.500
0.500 0.000 0.500
```


5.
First-principles (PBEsol) data for crystalline BaScAs2 at its relaxed geometry, as listed in the Alexandria database.

ΔE_f (meV per atom): -761
Uncorrected energy (eV per atom): -5.50
Relative energy among the computed polymorphs (eV/atom): 0.073

```
BaScAs2
1.0
-2.337 3.076 3.664
2.337 -3.076 3.664
2.337 3.076 -3.664
Ba Sc As
1 1 2
direct
0.000 0.000 0.000
0.500 0.500 0.000
0.300 0.800 0.500
0.700 0.200 0.500
```


6.
First-principles (PBEsol) data for crystalline Mg3W at its relaxed geometry, as listed in the Alexandria database.

ΔE_f (meV per atom): 485
Uncorrected energy (eV per atom): -4.26
Relative energy among the computed polymorphs (eV/atom): 0.047

```
Mg3W
1.0
2.800 0.000 0.000
0.000 4.883 0.000
0.000 0.000 5.393
Mg W
3 1
direct
0.000 0.000 0.000
0.000 0.500 0.320
0.500 0.500 0.781
0.500 0.000 0.499
```


7.
First-principles (PBEsol) data for crystalline CrSbTe2I at its relaxed geometry, as listed in the Alexandria database.

Uncorrected energy (eV per atom): -3.38
Formation energy without anion corrections (meV per atom): 1340
Relative energy among the computed polymorphs (eV/atom): 0.512

```
CrSbTe2I
1.0
5.722 0.000 0.000
0.000 5.722 0.000
0.000 0.000 5.715
Cr Sb Te I
1 1 2 1
direct
0.000 0.000 0.000
0.500 0.500 0.000
0.000 0.500 0.500
0.500 0.000 0.500
0.500 0.500 0.500
```


8.
First-principles (PBEsol) data for crystalline Sc2Cu2Ag at its relaxed geometry, as listed in the Alexandria database.

ΔE_f (meV per atom): -248
Uncorrected energy (eV per atom): -5.29

```
Sc2Cu2Ag
1.0
7.053 0.000 0.000
0.000 7.053 0.000
0.000 0.000 3.361
Sc Cu Ag
4 4 2
direct
0.173 0.327 0.000
0.327 0.827 0.000
0.673 0.173 0.000
0.827 0.673 0.000
0.124 0.624 0.500
0.376 0.124 0.500
0.624 0.876 0.500
0.876 0.376 0.500
0.000 0.000 0.500
0.500 0.500 0.500
```


9.
First-principles (PBEsol) data for crystalline Zn2IrOs at its relaxed geometry, as listed in the Alexandria database.

ΔE_f (meV per atom): 53
Uncorrected energy (eV per atom): -6.25
Relative energy among the computed polymorphs (eV/atom): 0.000

```
Zn2IrOs
1.0
1.373 0.792 8.406
-1.373 0.792 8.406
0.000 -1.585 8.406
Zn Ir Os
2 1 1
direct
0.249 0.249 0.249
0.751 0.751 0.751
0.500 0.500 0.500
0.000 0.000 0.000
```


10.
First-principles (PBEsol) data for crystalline Ca2Te at its relaxed geometry, as listed in the Alexandria database.

Uncorrected energy (eV per atom): -3.54
Formation energy without anion corrections (meV per atom): -941

```
Ca2Te
1.0
-1.933 1.933 6.624
1.933 -1.933 6.624
1.933 1.933 -6.624
Ca Te
2 1
direct
0.137 0.137 0.000
0.863 0.863 0.000
0.500 0.500 0.000
```


11.
First-principles (PBEsol) data for crystalline RbSrMnIn2 at its relaxed geometry, as listed in the Alexandria database.

ΔE_f (meV per atom): 199
Uncorrected energy (eV per atom): -3.52

```
RbSrMnIn2
1.0
5.223 0.000 0.000
0.000 5.223 0.000
0.000 0.000 5.513
Rb Sr Mn In
1 1 1 2
direct
0.000 0.000 0.000
0.500 0.500 0.000
0.500 0.500 0.500
0.000 0.500 0.500
0.500 0.000 0.500
```


12.
First-principles (PBEsol) data for crystalline LiPbAu2 at its relaxed geometry, as listed in the Alexandria database.

ΔE_f (meV per atom): -235
Uncorrected energy (eV per atom): -3.69

```
LiPbAu2
1.0
0.000 3.343 3.343
3.343 0.000 3.343
3.343 3.343 0.000
Li Pb Au
1 1 2
direct
0.000 0.000 0.000
0.750 0.750 0.750
0.250 0.250 0.250
0.500 0.500 0.500
```


13.
First-principles (PBEsol) data for crystalline Mg2Ag at its relaxed geometry, as listed in the Alexandria database.

ΔE_f (meV per atom): -120
Uncorrected energy (eV per atom): -2.37

```
Mg2Ag
1.0
5.161 -1.811 0.000
5.161 1.811 0.000
-1.849 0.000 6.113
Mg Ag
4 2
direct
0.000 0.000 0.000
0.000 0.000 0.500
0.319 0.319 0.683
0.681 0.681 0.317
0.340 0.340 0.165
0.660 0.660 0.835
```


14.
First-principles (PBEsol) data for crystalline AgPt3 at its relaxed geometry, as listed in the Alexandria database.

ΔE_f (meV per atom): 54
Uncorrected energy (eV per atom): -6.00

```
AgPt3
1.0
2.757 -4.817 0.000
2.757 4.817 0.000
0.000 0.000 4.615
Ag Pt
2 6
direct
0.075 0.925 0.750
0.925 0.075 0.250
0.084 0.433 0.750
0.421 0.579 0.250
0.433 0.084 0.250
0.567 0.916 0.750
0.579 0.421 0.750
0.916 0.567 0.250
```


15.
First-principles (PBEsol) data for crystalline BaSrO2 at its relaxed geometry, as listed in the Alexandria database.

Uncorrected energy (eV per atom): -6.12
Formation energy without anion corrections (meV per atom): -2503
Relative energy among the computed polymorphs (eV/atom): 0.109

```
BaSrO2
1.0
-2.885 2.885 5.652
2.885 -2.885 5.652
2.885 2.885 -5.652
Ba Sr O
2 2 4
direct
0.000 0.000 0.000
0.750 0.250 0.500
0.250 0.750 0.500
0.500 0.500 0.000
0.147 0.625 0.022
0.375 0.397 0.522
0.603 0.125 0.978
0.875 0.853 0.478
```


16.
First-principles (PBEsol) data for crystalline Ni3Mo at its relaxed geometry, as listed in the Alexandria database.

ΔE_f (meV per atom): 28
Uncorrected energy (eV per atom): -7.53

```
Ni3Mo
1.0
-1.287 4.111 2.184
1.287 -4.111 2.184
1.287 4.111 -2.184
Ni Mo
3 1
direct
0.000 0.000 0.000
0.399 0.654 0.745
0.909 0.654 0.255
0.506 0.006 0.500
```


17.
First-principles (PBEsol) data for crystalline Ta2ReW at its relaxed geometry, as listed in the Alexandria database.

ΔE_f (meV per atom): -192
Uncorrected energy (eV per atom): -13.25

```
Ta2ReW
1.0
0.000 3.183 3.183
3.183 0.000 3.183
3.183 3.183 0.000
Ta Re W
2 1 1
direct
0.000 0.000 0.000
0.250 0.250 0.250
0.750 0.750 0.750
0.500 0.500 0.500
```


18.
First-principles (PBEsol) data for crystalline Ba4FeRh at its relaxed geometry, as listed in the Alexandria database.

ΔE_f (meV per atom): 1256
Uncorrected energy (eV per atom): -3.03

```
Ba4FeRh
1.0
0.000 4.688 4.688
4.688 0.000 4.688
4.688 4.688 0.000
Ba Fe Rh
4 1 1
direct
0.376 0.376 0.376
0.376 0.376 0.873
0.376 0.873 0.376
0.873 0.376 0.376
0.000 0.000 0.000
0.750 0.750 0.750
```


19.
First-principles (PBEsol) data for crystalline LiBe2Se at its relaxed geometry, as listed in the Alexandria database.

Uncorrected energy (eV per atom): -3.31
Formation energy without anion corrections (meV per atom): 142

```
LiBe2Se
1.0
-3.526 3.526 2.347
3.526 -3.526 2.347
3.526 3.526 -2.347
Li Be Se
2 4 2
direct
0.000 0.000 0.000
0.750 0.250 0.500
0.188 0.625 0.063
0.375 0.438 0.563
0.562 0.125 0.937
0.875 0.812 0.437
0.250 0.750 0.500
0.500 0.500 0.000
```


20.
First-principles (PBEsol) data for crystalline Mg2NiW at its relaxed geometry, as listed in the Alexandria database.

ΔE_f (meV per atom): 613
Uncorrected energy (eV per atom): -5.24
Relative energy among the computed polymorphs (eV/atom): 0.260

```
Mg2NiW
1.0
4.745 0.000 0.000
0.000 4.745 0.000
0.000 0.000 2.769
Mg Ni W
2 1 1
direct
0.000 0.500 0.000
0.500 0.000 0.000
0.000 0.000 0.500
0.500 0.500 0.500
```